1.
GGA-PBE Ru2C, optimized geometry; energy relative to the lowest polymorph listed for this composition = 140 meV/atom
1.0
-0.333 4.717 1.631
-1.198 3.009 3.812
1.633 3.387 3.299
Ru C
2 1
Direct
0.244 0.244 0.244 Ru
0.756 0.756 0.756 Ru
0.000 0.000 0.000 C

***

2.
GGA-PBE Ru3C, optimized geometry; energy relative to the lowest polymorph listed for this composition = 219 meV/atom
1.0
2.694 0.000 0.000
0.000 2.694 0.000
0.000 0.000 6.451
Ru C
3 1
Direct
0.500 0.500 0.199 Ru
0.000 0.000 0.500 Ru
0.500 0.500 0.801 Ru
0.000 0.000 0.000 C

***

3.
The following is a GGA-PBE calculation of a relaxed Ru7C6 crystal, from Alexandria.

Geometry as POSCAR:
```
Ru7C6
1.0
7.112 0.002 0.001
4.994 5.064 0.001
4.994 2.090 4.613
Ru C
7 6
Direct
0.420 0.946 0.420 Ru
0.580 0.054 0.580 Ru
0.946 0.420 0.420 Ru
0.580 0.580 0.054 Ru
0.054 0.580 0.580 Ru
0.500 0.500 0.500 Ru
0.420 0.420 0.946 Ru
0.819 0.819 0.819 C
0.181 0.181 0.181 C
0.109 0.109 0.109 C
0.891 0.891 0.891 C
0.341 0.341 0.341 C
0.659 0.659 0.659 C
```

***

4.
GGA-PBE Ru2C, optimized geometry; energy relative to the lowest polymorph listed for this composition = 248 meV/atom
1.0
-1.708 -0.822 -1.996
2.612 0.630 -0.597
1.433 -5.109 0.878
Ru C
2 1
Direct
0.000 0.000 0.239 Ru
0.000 0.000 0.761 Ru
0.333 0.667 0.500 C

***

5.
GGA-PBE Ru3C, optimized geometry; energy relative to the lowest polymorph listed for this composition = 60 meV/atom
1.0
-1.815 1.906 0.720
-1.025 0.003 -2.592
-4.255 -4.686 1.675
Ru C
3 1
Direct
0.500 0.500 0.952 Ru
0.500 0.000 0.574 Ru
0.000 0.500 0.309 Ru
0.000 0.000 0.831 C

***

6.
GGA-PBE RuC2, optimized geometry; energy relative to the lowest polymorph listed for this composition = 166 meV/atom
1.0
-1.580 1.758 0.817
-0.886 -2.172 -0.868
0.404 -3.435 8.180
C Ru
2 1
Direct
0.667 0.333 0.500 C
0.333 0.667 0.500 C
0.000 0.000 0.000 Ru

***

7.
GGA-PBE RuC2, optimized geometry; energy relative to the lowest polymorph listed for this composition = 0 meV/atom
1.0
1.369 0.069 2.503
-2.294 1.645 -0.417
-4.696 -5.858 2.731
C Ru
4 2
Direct
0.000 0.000 0.088 C
0.000 0.000 0.412 C
0.000 0.000 0.588 C
0.000 0.000 0.912 C
0.667 0.333 0.750 Ru
0.333 0.667 0.250 Ru

***

8.
GGA-PBE Ru3C, optimized geometry; energy relative to the lowest polymorph listed for this composition = 0 meV/atom
1.0
-4.472 -1.695 0.199
1.783 -4.845 -1.212
0.891 -1.495 7.287
Ru C
12 4
Direct
0.822 0.691 0.571 Ru
0.342 0.551 0.750 Ru
0.678 0.191 0.929 Ru
0.678 0.191 0.571 Ru
0.322 0.809 0.429 Ru
0.178 0.309 0.071 Ru
0.842 0.949 0.250 Ru
0.658 0.449 0.250 Ru
0.322 0.809 0.071 Ru
0.178 0.309 0.429 Ru
0.822 0.691 0.929 Ru
0.158 0.051 0.750 Ru
0.066 0.611 0.250 C
0.566 0.889 0.750 C
0.434 0.111 0.250 C
0.934 0.389 0.750 C

***

9.
GGA-PBE Ru2C, optimized geometry; energy relative to the lowest polymorph listed for this composition = 149 meV/atom
1.0
-4.992 0.980 -0.734
-3.989 0.179 -3.237
-4.112 -4.369 -0.249
C Ru
2 4
Direct
0.823 0.823 0.221 C
0.177 0.177 0.779 C
0.139 0.139 0.485 Ru
0.861 0.861 0.515 Ru
0.384 0.384 0.933 Ru
0.616 0.616 0.067 Ru

***

10.
GGA-PBE Ru3C, optimized geometry; energy relative to the lowest polymorph listed for this composition = 1258 meV/atom
1.0
4.677 0.000 0.000
0.000 4.677 0.000
0.000 0.000 4.677
C Ru
2 6
Direct
0.500 0.500 0.500 C
0.000 0.000 0.000 C
0.500 0.000 0.750 Ru
0.500 0.000 0.250 Ru
0.000 0.250 0.500 Ru
0.000 0.750 0.500 Ru
0.750 0.500 0.000 Ru
0.250 0.500 0.000 Ru

***

11.
GGA-PBE Ru2C, optimized geometry; energy relative to the lowest polymorph listed for this composition = 504 meV/atom
1.0
1.639 -2.839 0.000
1.639 2.839 0.000
0.000 0.000 8.156
Ru C
4 2
Direct
0.000 0.000 0.500 Ru
0.333 0.667 0.750 Ru
0.667 0.333 0.250 Ru
0.000 0.000 0.000 Ru
0.667 0.333 0.750 C
0.333 0.667 0.250 C

***

12.
GGA-PBE RuC2, optimized geometry; energy relative to the lowest polymorph listed for this composition = 695 meV/atom
1.0
1.305 -7.566 0.000
1.305 7.566 0.000
0.000 0.000 2.705
Ru C
2 4
Direct
0.384 0.616 0.000 Ru
0.616 0.384 0.000 Ru
0.274 0.726 0.500 C
0.726 0.274 0.500 C
0.000 0.000 0.000 C
0.500 0.500 0.500 C

***

13.
GGA-PBE Ru2C, optimized geometry; energy relative to the lowest polymorph listed for this composition = 212 meV/atom
1.0
1.442 -5.591 0.000
1.442 5.591 0.000
0.000 0.000 4.310
Ru C
4 2
Direct
0.427 0.573 0.750 Ru
0.839 0.161 0.250 Ru
0.573 0.427 0.250 Ru
0.161 0.839 0.750 Ru
0.802 0.198 0.750 C
0.198 0.802 0.250 C

***

14.
GGA-PBE Ru3C, optimized geometry; energy relative to the lowest polymorph listed for this composition = 697 meV/atom
1.0
6.848 0.000 0.000
-3.424 5.930 0.000
0.000 0.000 5.252
Ru C
12 4
Direct
0.000 0.500 0.000 Ru
0.500 0.500 0.500 Ru
0.866 0.134 0.250 Ru
0.134 0.267 0.750 Ru
0.267 0.134 0.250 Ru
0.500 0.000 0.500 Ru
0.500 0.500 0.000 Ru
0.500 0.000 0.000 Ru
0.866 0.733 0.250 Ru
0.000 0.500 0.500 Ru
0.134 0.866 0.750 Ru
0.733 0.866 0.750 Ru
0.000 0.000 0.500 C
0.333 0.667 0.250 C
0.667 0.333 0.750 C
0.000 0.000 0.000 C

***

15.
GGA-PBE RuC2, optimized geometry; energy relative to the lowest polymorph listed for this composition = 711 meV/atom
1.0
-9.809 9.101 -7.009
-12.227 7.642 -4.502
11.438 -6.986 6.968
C Ru
8 4
Direct
0.003 0.503 0.500 C
0.637 0.637 0.000 C
0.613 0.113 0.500 C
0.363 0.363 0.000 C
0.887 0.387 0.500 C
0.753 0.753 0.000 C
0.497 0.997 0.500 C
0.247 0.247 0.000 C
0.942 0.942 0.000 Ru
0.058 0.058 0.000 Ru
0.308 0.808 0.500 Ru
0.192 0.692 0.500 Ru

***

16.
The following is a GGA-PBE calculation of a relaxed RuC7 crystal, from Alexandria.

Geometry as POSCAR:
```
RuC7
1.0
0.000 3.170 3.170
3.170 0.000 3.170
3.170 3.170 0.000
C Ru
7 1
Direct
0.500 0.500 0.000 C
0.000 0.500 0.000 C
0.500 0.000 0.500 C
0.000 0.500 0.500 C
0.500 0.000 0.000 C
0.500 0.500 0.500 C
0.000 0.000 0.500 C
0.000 0.000 0.000 Ru
```

***

17.
GGA-PBE Ru3C, optimized geometry; energy relative to the lowest polymorph listed for this composition = 424 meV/atom
1.0
4.011 0.000 0.000
0.000 5.086 0.000
0.000 0.000 5.355
Ru C
6 2
Direct
0.000 0.616 0.500 Ru
0.000 0.140 0.265 Ru
0.500 0.860 0.235 Ru
0.500 0.860 0.765 Ru
0.000 0.140 0.735 Ru
0.500 0.384 0.000 Ru
0.000 0.421 0.000 C
0.500 0.579 0.500 C

***

18.
GGA-PBE Ru3C, optimized geometry; energy relative to the lowest polymorph listed for this composition = 234 meV/atom
1.0
-5.484 -2.875 2.596
5.172 -3.802 -1.967
1.070 0.182 2.462
Ru C
6 2
Direct
0.193 0.807 0.750 Ru
0.615 0.807 0.750 Ru
0.807 0.615 0.250 Ru
0.193 0.385 0.750 Ru
0.385 0.193 0.250 Ru
0.807 0.193 0.250 Ru
0.667 0.333 0.750 C
0.333 0.667 0.250 C

***

19.
GGA-PBE Ru2C, optimized geometry; energy relative to the lowest polymorph listed for this composition = 288 meV/atom
1.0
1.404 4.446 0.028
-1.404 4.446 0.028
0.000 0.188 2.813
C Ru
1 2
Direct
0.000 0.000 0.000 C
0.638 0.638 0.248 Ru
0.362 0.362 0.752 Ru

***

20.
GGA-PBE Ru2C, optimized geometry; energy relative to the lowest polymorph listed for this composition = 2288 meV/atom
1.0
1.467 -3.938 -2.678
-0.912 -4.613 1.648
-3.380 -2.846 -2.304
Ru C
4 2
Direct
0.625 0.125 0.125 Ru
0.125 0.125 0.125 Ru
0.125 0.125 0.625 Ru
0.125 0.625 0.125 Ru
0.500 0.500 0.500 C
0.750 0.750 0.750 C

***

Total moment in μB/f.u., matching the order above: 0.00, 0.00, 0.01, 0.00, 0.00, 0.93, 0.00, 0.00, 0.00, 0.00, 0.00, 0.00, 0.00, 0.00, 0.00, 0.00, 0.00, 0.00, 0.00, 1.34
Uncorrected energy in eV per atom, matching the order above: -8.81, -8.72, -7.94, -8.70, -8.88, -8.49, -8.66, -8.94, -8.80, -7.68, -8.45, -7.96, -8.74, -8.24, -7.95, -5.52, -8.51, -8.70, -8.66, -6.66
ΔH_f (0 K) in eV/atom, matching the order above: 0.4496, 0.5451, 1.3122, 0.5580, 0.3862, 0.7501, 0.5843, 0.3264, 0.4588, 1.5847, 0.8135, 1.2790, 0.5211, 1.0233, 1.2952, 3.7102, 0.7509, 0.5603, 0.5975, 2.5973